# 1
This record from Alexandria via LeMat-Bulk describes Ga4IrRh7 after structural relaxation. The functional is PBE.

Values from the calculation:
The density of states at the Fermi level is 10.80 states/eV per cell. Its space group is P-1. Its volume is 182.0 Å³ per cell.

```
Ga4IrRh7
1.0
4.398 0.000 0.000
0.005 5.241 0.000
2.180 2.173 7.898
Ga Ir Rh
4 1 7
direct
0.140 0.378 0.223 Ga
0.307 0.874 0.887 Ga
0.693 0.126 0.113 Ga
0.860 0.622 0.777 Ga
0.000 0.500 0.500 Ir
0.000 0.000 0.500 Rh
0.147 0.875 0.203 Rh
0.291 0.373 0.918 Rh
0.455 0.216 0.590 Rh
0.545 0.784 0.410 Rh
0.709 0.627 0.082 Rh
0.853 0.125 0.797 Rh
```


# 2
This record from Alexandria via LeMat-Bulk describes GaIrRh after structural relaxation. The functional is PBE.

Values from the calculation:
The density of states at the Fermi level is 4.11 states/eV per cell. Its space group is I4mm. Its volume is 42.9 Å³ per cell.

```
GaIrRh
1.0
-1.419 1.419 5.327
1.419 -1.419 5.327
1.419 1.419 -5.327
Ga Ir Rh
1 1 1
direct
0.000 0.000 0.000 Ga
0.339 0.339 0.000 Ir
0.660 0.660 0.000 Rh
```


# 3
This record from Alexandria via LeMat-Bulk describes Ga2Ir2Rh after structural relaxation. The functional is PBE.

Values from the calculation:
The density of states at the Fermi level is 6.33 states/eV per cell. Its space group is P4/mbm. Its volume is 148.3 Å³ per cell.

```
Ga2Ir2Rh
1.0
7.205 0.000 0.000
0.000 7.205 0.000
0.000 0.000 2.857
Ga Ir Rh
4 4 2
direct
0.143 0.357 0.000 Ga
0.357 0.857 0.000 Ga
0.643 0.143 0.000 Ga
0.857 0.643 0.000 Ga
0.156 0.656 0.500 Ir
0.344 0.156 0.500 Ir
0.656 0.844 0.500 Ir
0.844 0.344 0.500 Ir
0.000 0.000 0.000 Rh
0.500 0.500 0.000 Rh
```


# 4
This record from Alexandria via LeMat-Bulk describes GaIrRh after structural relaxation. The functional is PBE.

Values from the calculation:
The density of states at the Fermi level is 8.10 states/eV per cell. Its space group is I4/mmm. Its volume is 89.9 Å³ per cell.

```
GaIrRh
1.0
-1.447 1.447 10.731
1.447 -1.447 10.731
1.447 1.447 -10.731
Ga Ir Rh
2 2 2
direct
0.128 0.128 0.000 Ga
0.872 0.872 0.000 Ga
0.294 0.294 0.000 Ir
0.706 0.706 0.000 Ir
0.442 0.442 0.000 Rh
0.558 0.558 0.000 Rh
```


# 5
This record from Alexandria via LeMat-Bulk describes Ga4IrRh3 after structural relaxation. The functional is PBE.

Values from the calculation:
The density of states at the Fermi level is 2.40 states/eV per cell. Its space group is P4/mmm. Its volume is 112.7 Å³ per cell.

```
Ga4IrRh3
1.0
4.310 0.000 0.000
0.000 4.310 0.000
0.000 0.000 6.064
Ga Ir Rh
4 1 3
direct
0.000 0.500 0.249 Ga
0.000 0.500 0.751 Ga
0.500 0.000 0.249 Ga
0.500 0.000 0.751 Ga
0.000 0.000 0.500 Ir
0.000 0.000 0.000 Rh
0.500 0.500 0.000 Rh
0.500 0.500 0.500 Rh
```


# 6
This record from Alexandria via LeMat-Bulk describes Ga6Ir2Rh after structural relaxation. The functional is PBE.

Values from the calculation:
The density of states at the Fermi level is 5.78 states/eV per cell. Its space group is P-3m1. Its volume is 156.7 Å³ per cell.

```
Ga6Ir2Rh
1.0
4.191 0.000 0.000
-2.096 3.630 0.000
0.000 0.000 10.298
Ga Ir Rh
6 2 1
direct
0.000 0.000 0.249 Ga
0.000 0.000 0.751 Ga
0.333 0.667 0.418 Ga
0.333 0.667 0.917 Ga
0.667 0.333 0.083 Ga
0.667 0.333 0.582 Ga
0.333 0.667 0.668 Ir
0.667 0.333 0.332 Ir
0.000 0.000 0.000 Rh
```


Energy of formation from the pure elements values (in kJ/mol of atoms) by entry order: -24, -24, -19, -13, -60, -39.